Entry 1:
Entry from Alexandria via LeMat-Bulk: ScZnAg at its PBEsol-relaxed geometry (SCAN).

The calculation puts the energy relative to the elements at -0.88 eV/f.u. The crystal system is tetragonal. The total moment is 0.19 μB/cell. The calculation puts the total energy at -20.001 eV/atom.

abc: 3.399 3.399 5.081
angles: 109.54 109.54 90.00
Each line ends with the local moment (μB).
Fractional positions:
Zn 0.660 0.660 0.321  0.00
Sc 0.329 0.329 0.659  0.13
Ag 0.010 0.010 0.020  0.00



Entry 2:
Entry from Alexandria via LeMat-Bulk: Fe2NiSe at its PBEsol-relaxed geometry (SCAN).

The crystal system is cubic. The total moment is 5.93 μB/cell. The calculation puts the total energy at -17.921 eV/atom.

abc: 4.078 4.078 4.078
angles: 60.00 60.00 60.00
Each line ends with the local moment (μB).
Fractional positions:
Fe 0.750 0.750 0.750  2.94
Fe 0.000 0.000 0.000  2.49
Se 0.250 0.250 0.250  0.11
Ni 0.500 0.500 0.500  0.57



Entry 3:
Entry from Alexandria via LeMat-Bulk: K3AlCo at its PBEsol-relaxed geometry (SCAN).

The calculation puts the energy relative to the elements at 4.18 eV/f.u. The crystal system is cubic. The total moment is 2.47 μB/cell. The calculation puts the total energy at -9.173 eV/atom.

abc: 6.009 6.009 6.009
angles: 90.00 90.00 90.00
Each line ends with the local moment (μB).
Fractional positions:
Al 0.500 0.500 0.500  0.04
Co 0.000 0.000 0.000  2.00
K 0.000 0.500 0.000  0.01
K 0.500 0.000 0.000  0.01
K 0.000 0.000 0.500  0.01



Entry 4:
Entry from Alexandria via LeMat-Bulk: TeOsRh at its PBEsol-relaxed geometry (SCAN).

The crystal system is orthorhombic. As for the energy above the lowest structure with this stoichiometry: 290 meV/atom. The total moment is 1.03 μB/cell. The calculation puts the total energy at -46.711 eV/atom.

abc: 2.891 2.891 7.099
angles: 96.01 96.01 119.09
Each line ends with the local moment (μB).
Fractional positions:
Te 0.666 0.666 0.333  0.01
Rh 0.340 0.340 0.681  0.35
Os 0.993 0.993 0.986  0.62



Entry 5:
Entry from Alexandria via LeMat-Bulk: V4SnO12 at its PBEsol-relaxed geometry (SCAN).

The crystal system is monoclinic. The total moment is 0.12 μB/cell. The calculation puts the total energy at -12.949 eV/atom.

abc: 5.881 6.793 6.793
angles: 81.91 75.08 75.08
Fractional positions:
O 0.444 0.103 0.631
O 0.032 0.932 0.403
O 0.447 0.782 0.958
O 0.553 0.042 0.218
O 0.968 0.597 0.068
O 0.796 0.645 0.627
O 0.698 0.357 0.342
O 0.556 0.369 0.897
O 0.204 0.373 0.355
O 0.144 0.198 0.034
O 0.302 0.658 0.643
O 0.856 0.966 0.802
V 0.479 0.216 0.391
V 0.996 0.381 0.199
V 0.521 0.609 0.784
V 0.004 0.801 0.619
Sn 0.500 0.076 0.924



Entry 6:
Entry from Alexandria via LeMat-Bulk: KSn4P3O12 at its PBEsol-relaxed geometry (SCAN).

The crystal system is trigonal. The total moment is 0.00 μB/cell. The calculation puts the total energy at -15.008 eV/atom.

abc: 9.723 9.723 9.895
angles: 60.57 60.57 60.00
Fractional positions:
P 0.088 0.562 0.718
P 0.062 0.588 0.218
P 0.588 0.132 0.218
P 0.562 0.632 0.718
P 0.132 0.062 0.218
P 0.632 0.088 0.718
O 0.264 0.065 0.260
O 0.411 0.264 0.260
O 0.195 0.638 0.049
O 0.695 0.617 0.549
O 0.460 0.083 0.853
O 0.683 0.221 0.707
O 0.583 0.960 0.353
O 0.721 0.183 0.207
O 0.389 0.683 0.707
O 0.617 0.138 0.549
O 0.221 0.389 0.707
O 0.083 0.603 0.853
O 0.065 0.411 0.260
O 0.638 0.117 0.049
O 0.889 0.721 0.207
O 0.183 0.889 0.207
O 0.911 0.565 0.760
O 0.960 0.103 0.353
O 0.565 0.764 0.760
O 0.603 0.460 0.853
O 0.138 0.695 0.549
O 0.117 0.195 0.049
O 0.764 0.911 0.760
O 0.103 0.583 0.353
K 0.344 0.344 0.967
K 0.844 0.844 0.467
Sn 0.804 0.232 0.830
Sn 0.135 0.804 0.830
Sn 0.304 0.635 0.330
Sn 0.635 0.732 0.330
Sn 0.232 0.135 0.830
Sn 0.193 0.193 0.421
Sn 0.693 0.693 0.921
Sn 0.732 0.304 0.330



Entry 7:
Entry from Alexandria via LeMat-Bulk: ScCoBi2Br at its PBEsol-relaxed geometry (SCAN).

The crystal system is tetragonal. The total moment is 2.40 μB/cell. The calculation puts the total energy at -41.247 eV/atom.

abc: 4.966 5.609 5.609
angles: 90.00 90.00 90.00
Each line ends with the local moment (μB).
Fractional positions:
Bi 0.000 0.000 0.500  0.01
Bi 0.000 0.500 0.000  0.01
Co 0.500 0.500 0.500  2.20
Br 0.500 0.000 0.000  0.01
Sc 0.000 0.000 0.000  0.02



Entry 8:
Entry from Alexandria via LeMat-Bulk: CaY2Re at its PBEsol-relaxed geometry (SCAN).

The calculation puts the energy relative to the elements at 1.36 eV/f.u. The crystal system is cubic. As for the energy above the lowest structure with this stoichiometry: 0 meV/atom. The total moment is 0.00 μB/cell. The calculation puts the total energy at -33.772 eV/atom.

abc: 5.077 5.077 5.077
angles: 60.00 60.00 60.00
Fractional positions:
Ca 0.000 0.000 0.000
Re 0.500 0.500 0.500
Y 0.250 0.250 0.250
Y 0.750 0.750 0.750